Tb2Y2Pt3: optimized geometry, PBE.

a b c (Å): 8.763 8.763 8.763
angles (deg): 90.00 90.00 90.00
Space group I2_13 (No. 199)
Asymmetric unit:
Tb 0.063 0.063 0.063 x8
Y 0.187 0.313 0.687 x8
Pt 0.000 0.250 0.375 x12

Computed properties:
electronic total energy = -6.850 eV/atom
formation enthalpy at 0 K = -1.0911 eV/atom
N(E_F) = 0.510 states/eV/atom
total magnetic moment = 0.000 μB per formula unit

TbYPt10: optimized geometry, PBE.

a b c (Å): 4.461 5.374 9.253
angles (deg): 90.00 90.00 90.00
Space group Pmmm (No. 47)
Asymmetric unit:
Tb 0.000 0.000 0.000 x1
Y 0.000 0.500 0.500 x1
Pt 0.000 0.000 0.333 x2
Pt 0.000 0.500 0.167 x2
Pt 0.500 0.000 0.500 x1
Pt 0.500 0.250 0.250 x4
Pt 0.500 0.500 0.000 x1

Computed properties:
electronic total energy = -6.649 eV/atom
formation enthalpy at 0 K = -0.6905 eV/atom
N(E_F) = 0.809 states/eV/atom
total magnetic moment = 0.000 μB per formula unit

Tb5Y3Pt2: optimized geometry, PBE.

a b c (Å): 12.780 13.922 6.821
angles (deg): 90.00 90.00 90.00
Space group Ibam (No. 72)
Asymmetric unit:
Tb 0.000 0.000 0.250 x4
Tb 0.000 0.233 0.250 x8
Tb 0.202 0.069 0.000 x8
Y 0.000 0.500 0.250 x4
Y 0.249 0.319 0.000 x8
Pt 0.107 0.354 0.500 x8

Computed properties:
electronic total energy = -5.802 eV/atom
formation enthalpy at 0 K = -0.3393 eV/atom
N(E_F) = 1.498 states/eV/atom
total magnetic moment = 0.000 μB per formula unit

TbYZnPt: optimized geometry, PBE.

a b c (Å): 7.072 7.072 7.072
angles (deg): 90.00 90.00 90.00
Space group F-43m (No. 216)
Asymmetric unit:
Tb 0.000 0.000 0.000 x4
Y 0.000 0.000 0.500 x4
Zn 0.250 0.250 0.750 x4
Pt 0.250 0.250 0.250 x4

Computed properties:
electronic total energy = -5.384 eV/atom
formation enthalpy at 0 K = -0.7821 eV/atom
N(E_F) = 0.713 states/eV/atom
total magnetic moment = 0.000 μB per formula unit

TbYZnPt: optimized geometry, PBE.

a b c (Å): 4.500 3.829 10.688
angles (deg): 90.00 90.00 90.00
Space group Amm2 (No. 38)
Asymmetric unit:
Tb 0.000 0.000 0.000 x2
Y 0.500 0.000 0.719 x2
Zn 0.500 0.000 0.436 x2
Pt 0.000 0.000 0.286 x2

Computed properties:
electronic total energy = -5.415 eV/atom
formation enthalpy at 0 K = -0.8129 eV/atom
N(E_F) = 0.724 states/eV/atom
total magnetic moment = 0.000 μB per formula unit

Tb3Zn9Pt2: optimized geometry, PBE.

a b c (Å): 4.281 8.944 13.099
angles (deg): 90.00 90.00 90.00
Space group Immm (No. 71)
Asymmetric unit:
Tb 0.000 0.000 0.000 x2
Tb 0.000 0.000 0.311 x4
Zn 0.000 0.280 0.128 x8
Zn 0.000 0.359 0.326 x8
Zn 0.000 0.500 0.000 x2
Pt 0.000 0.212 0.500 x4

Computed properties:
electronic total energy = -3.196 eV/atom
formation enthalpy at 0 K = -0.5221 eV/atom
N(E_F) = 0.453 states/eV/atom
total magnetic moment = 0.000 μB per formula unit

TbZn2Pt4: optimized geometry, PBE.

a b c (Å): 6.744 6.744 5.265
angles (deg): 90.00 90.00 90.00
Space group I4/mmm (No. 139)
Asymmetric unit:
Tb 0.000 0.000 0.000 x2
Zn 0.000 0.500 0.250 x4
Pt 0.203 0.203 0.500 x8

Computed properties:
electronic total energy = -5.179 eV/atom
formation enthalpy at 0 K = -0.7015 eV/atom
N(E_F) = 0.602 states/eV/atom
total magnetic moment = 0.000 μB per formula unit

Tb4Zn3Pt: optimized geometry, PBE.

a b c (Å): 3.749 4.549 10.979
angles (deg): 90.00 90.00 90.00
Space group Pmm2 (No. 25)
Asymmetric unit:
Tb 0.000 0.000 0.000 x1
Tb 0.000 0.500 0.276 x1
Tb 0.500 0.000 0.479 x1
Tb 0.500 0.500 0.784 x1
Zn 0.000 0.000 0.706 x1
Zn 0.000 0.500 0.561 x1
Zn 0.500 0.500 0.060 x1
Pt 0.500 0.000 0.210 x1

Computed properties:
electronic total energy = -4.092 eV/atom
formation enthalpy at 0 K = -0.5445 eV/atom
N(E_F) = 1.088 states/eV/atom
total magnetic moment = 0.000 μB per formula unit

Tb2Zn5Pt5: optimized geometry, PBE.

a b c (Å): 4.357 5.253 9.256
angles (deg): 90.00 90.00 90.00
Space group Pmmm (No. 47)
Asymmetric unit:
Tb 0.000 0.000 0.000 x1
Tb 0.000 0.500 0.500 x1
Zn 0.500 0.000 0.500 x1
Zn 0.500 0.251 0.251 x4
Pt 0.000 0.000 0.333 x2
Pt 0.000 0.500 0.178 x2
Pt 0.500 0.500 0.000 x1

Computed properties:
electronic total energy = -4.584 eV/atom
formation enthalpy at 0 K = -0.7649 eV/atom
N(E_F) = 0.372 states/eV/atom
total magnetic moment = 0.000 μB per formula unit

TbZnPt: optimized geometry, PBE.

a b c (Å): 4.4394 4.4394 3.5587
angles (deg): 90.00 90.00 120.00
Space group P-6m2 (No. 187)
Asymmetric unit:
Tb 0.0000 0.0000 0.0000 x1
Zn 0.3333 0.6667 0.5000 x1
Pt 0.6667 0.3333 0.5000 x1

Computed properties:
electronic total energy = -4.854 eV/atom
formation enthalpy at 0 K = -0.8722 eV/atom
N(E_F) = 0.973 states/eV/atom
total magnetic moment = 0.000 μB per formula unit

Tb2ZnPt5: optimized geometry, PBE.

a b c (Å): 5.936 5.936 8.024
angles (deg): 90.00 90.00 90.00
Space group I4mm (No. 107)
Asymmetric unit:
Tb 0.000 0.500 0.000 x4
Zn 0.000 0.000 0.001 x2
Pt 0.000 0.000 0.500 x2
Pt 0.250 0.250 0.250 x8

Computed properties:
electronic total energy = -6.053 eV/atom
formation enthalpy at 0 K = -0.9606 eV/atom
N(E_F) = 0.179 states/eV/atom
total magnetic moment = 0.000 μB per formula unit

Tb3ZnPt2: optimized geometry, PBE.

a b c (Å): 11.943 4.012 11.747
angles (deg): 90.00 90.00 90.00
Space group Pnma (No. 62)
Asymmetric unit:
Tb 0.048 0.250 0.126 x4
Tb 0.133 0.750 0.575 x4
Tb 0.208 0.250 0.823 x4
Zn 0.119 0.250 0.379 x4
Pt 0.000 0.250 0.693 x4
Pt 0.185 0.750 0.997 x4

Computed properties:
electronic total energy = -5.468 eV/atom
formation enthalpy at 0 K = -0.9274 eV/atom
N(E_F) = 0.687 states/eV/atom
total magnetic moment = 0.000 μB per formula unit

What did the second record say?
TbYPt10: optimized geometry, PBE.

a b c (Å): 4.461 5.374 9.253
angles (deg): 90.00 90.00 90.00
Space group Pmmm (No. 47)
Asymmetric unit:
Tb 0.000 0.000 0.000 x1
Y 0.000 0.500 0.500 x1
Pt 0.000 0.000 0.333 x2
Pt 0.000 0.500 0.167 x2
Pt 0.500 0.000 0.500 x1
Pt 0.500 0.250 0.250 x4
Pt 0.500 0.500 0.000 x1

Computed properties:
electronic total energy = -6.649 eV/atom
formation enthalpy at 0 K = -0.6905 eV/atom
N(E_F) = 0.809 states/eV/atom
total magnetic moment = 0.000 μB per formula unit

Please write out number 2 again, unchanged.
TbYPt10: optimized geometry, PBE.

a b c (Å): 4.461 5.374 9.253
angles (deg): 90.00 90.00 90.00
Space group Pmmm (No. 47)
Asymmetric unit:
Tb 0.000 0.000 0.000 x1
Y 0.000 0.500 0.500 x1
Pt 0.000 0.000 0.333 x2
Pt 0.000 0.500 0.167 x2
Pt 0.500 0.000 0.500 x1
Pt 0.500 0.250 0.250 x4
Pt 0.500 0.500 0.000 x1

Computed properties:
electronic total energy = -6.649 eV/atom
formation enthalpy at 0 K = -0.6905 eV/atom
N(E_F) = 0.809 states/eV/atom
total magnetic moment = 0.000 μB per formula unit

Which of these has the highest N(E_F)? Tb5Y3Pt2